1.
Entry from Alexandria via LeMat-Bulk: a geometry-optimized LiNbInSe2 structure (GGA-PBE).

Lattice parameters (Å, degrees): 4.621 4.777 4.621 90.00 90.00 90.00
Fractional coordinates of all 5 atoms:
Nb1 0.500 0.500 0.500
Li1 0.000 0.000 0.000
Se1 0.000 0.000 0.500
Se2 0.500 0.000 0.000
In1 0.000 0.500 0.000

- DFT total energy (eV/atom) = -3.893
- DOS at the Fermi energy (states/eV/atom) = 0.973



2.
Entry from Alexandria via LeMat-Bulk: a geometry-optimized LiNd3In4 structure (GGA-PBE).

Lattice parameters (Å, degrees): 3.591 3.591 16.480 90.00 90.00 90.00
Fractional coordinates of all 8 atoms:
In1 0.000 0.000 0.906
In2 0.000 0.000 0.094
In3 0.000 0.000 0.364
In4 0.000 0.000 0.636
Nd1 0.500 0.500 0.230
Nd2 0.500 0.500 0.500
Nd3 0.500 0.500 0.770
Li1 0.500 0.500 0.000

- formation energy (eV per atom) = -0.4457
- DFT total energy (eV/atom) = -3.842
- DOS at the Fermi energy (states/eV/atom) = 0.617



3.
Entry from Alexandria via LeMat-Bulk: a geometry-optimized Li3Nd2In4 structure (GGA-PBE).

Lattice parameters (Å, degrees): 6.230 8.314 8.874 90.00 110.55 90.00
Fractional coordinates of all 18 atoms:
Li1 0.000 0.000 0.000
Li2 0.500 0.500 0.000
Li3 0.517 0.750 0.534
Li4 0.983 0.250 0.466
Li5 0.483 0.250 0.466
Li6 0.017 0.750 0.534
Nd1 0.106 0.597 0.211
Nd2 0.894 0.403 0.789
Nd3 0.394 0.097 0.789
Nd4 0.606 0.903 0.211
In1 0.687 0.750 0.873
In2 0.813 0.250 0.127
In3 0.313 0.250 0.127
In4 0.187 0.750 0.873
In5 0.173 0.987 0.346
In6 0.827 0.013 0.654
In7 0.327 0.487 0.654
In8 0.673 0.513 0.346

- formation energy (eV per atom) = -0.3499
- DFT total energy (eV/atom) = -3.264
- DOS at the Fermi energy (states/eV/atom) = 0.733



4.
Entry from Alexandria via LeMat-Bulk: a geometry-optimized LiNdIn6 structure (GGA-PBE).

Lattice parameters (Å, degrees): 4.713 6.553 6.553 89.89 90.00 90.00
Fractional coordinates of all 8 atoms:
Li1 0.500 0.500 0.500
Nd1 0.500 0.000 0.000
In1 0.000 0.743 0.257
In2 0.000 0.257 0.743
In3 0.000 0.744 0.744
In4 0.000 0.256 0.256
In5 0.500 0.500 0.000
In6 0.500 0.000 0.500

- formation energy (eV per atom) = -0.2625
- DFT total energy (eV/atom) = -3.152
- DOS at the Fermi energy (states/eV/atom) = 0.376



5.
Entry from Alexandria via LeMat-Bulk: a geometry-optimized LiNd3In3 structure (GGA-PBE).

Lattice parameters (Å, degrees): 4.785 6.220 14.896 84.31 80.76 67.38
Fractional coordinates of all 14 atoms:
Li1 0.755 0.088 0.402
Li2 0.245 0.912 0.598
Nd1 0.544 0.297 0.616
Nd2 0.456 0.703 0.384
Nd3 0.256 0.267 0.222
Nd4 0.744 0.733 0.778
Nd5 0.405 0.271 0.919
Nd6 0.595 0.729 0.081
In1 0.868 0.712 0.552
In2 0.132 0.288 0.448
In3 0.120 0.833 0.927
In4 0.880 0.167 0.073
In5 0.962 0.839 0.236
In6 0.038 0.161 0.764

- formation energy (eV per atom) = -0.3860
- DFT total energy (eV/atom) = -3.876
- DOS at the Fermi energy (states/eV/atom) = 0.974



6.
Entry from Alexandria via LeMat-Bulk: a geometry-optimized LiNd2In structure (GGA-PBE).

Lattice parameters (Å, degrees): 3.439 3.439 12.213 81.91 81.91 60.00
Fractional coordinates of all 4 atoms:
Li1 0.500 0.500 0.500
Nd1 0.091 0.091 0.728
Nd2 0.909 0.909 0.272
In1 0.000 0.000 0.000

- formation energy (eV per atom) = 0.1835
- DFT total energy (eV/atom) = -3.363
- DOS at the Fermi energy (states/eV/atom) = 1.247



7.
Entry from Alexandria via LeMat-Bulk: a geometry-optimized Li2NdIn3 structure (GGA-PBE).

Lattice parameters (Å, degrees): 4.729 4.729 14.389 90.00 90.00 120.00
Fractional coordinates of all 12 atoms:
Li1 0.667 0.333 0.416
Li2 0.333 0.667 0.584
Li3 0.333 0.667 0.916
Li4 0.667 0.333 0.084
Nd1 0.000 0.000 0.250
Nd2 0.000 0.000 0.750
In1 0.000 0.000 0.500
In2 0.000 0.000 0.000
In3 0.667 0.333 0.624
In4 0.333 0.667 0.124
In5 0.667 0.333 0.876
In6 0.333 0.667 0.376

- formation energy (eV per atom) = -0.3277
- DFT total energy (eV/atom) = -3.129
- DOS at the Fermi energy (states/eV/atom) = 0.470



8.
Entry from Alexandria via LeMat-Bulk: a geometry-optimized LiNd3In12 structure (GGA-PBE).

Lattice parameters (Å, degrees): 4.702 4.702 18.489 90.00 90.00 90.00
Fractional coordinates of all 16 atoms:
Li1 0.000 0.000 0.000
Nd1 0.000 0.000 0.243
Nd2 0.000 0.000 0.500
Nd3 0.000 0.000 0.757
In1 0.500 0.500 0.000
In2 0.500 0.500 0.248
In3 0.500 0.500 0.500
In4 0.500 0.500 0.752
In5 0.500 0.000 0.113
In6 0.500 0.000 0.372
In7 0.500 0.000 0.628
In8 0.500 0.000 0.887
In9 0.000 0.500 0.113
In10 0.000 0.500 0.372
In11 0.000 0.500 0.628
In12 0.000 0.500 0.887

- formation energy (eV per atom) = -0.3763
- DFT total energy (eV/atom) = -3.444
- DOS at the Fermi energy (states/eV/atom) = 0.390



9.
Entry from Alexandria via LeMat-Bulk: a geometry-optimized Li2Nd3In7 structure (GGA-PBE).

Lattice parameters (Å, degrees): 4.460 4.679 14.768 99.12 90.00 90.00
Fractional coordinates of all 12 atoms:
Li1 0.000 0.864 0.728
Li2 0.000 0.136 0.272
Nd1 0.500 0.500 0.000
Nd2 0.500 0.675 0.351
Nd3 0.500 0.325 0.649
In1 0.000 0.415 0.829
In2 0.000 0.777 0.554
In3 0.000 0.000 0.000
In4 0.000 0.585 0.171
In5 0.500 0.084 0.167
In6 0.500 0.916 0.833
In7 0.000 0.223 0.446

- formation energy (eV per atom) = -0.3745
- DFT total energy (eV/atom) = -3.483
- DOS at the Fermi energy (states/eV/atom) = 0.528



10.
Entry from Alexandria via LeMat-Bulk: a geometry-optimized Li3NdIn4 structure (GGA-PBE).

Lattice parameters (Å, degrees): 4.869 7.515 9.733 90.00 90.00 90.00
Fractional coordinates of all 16 atoms:
In1 0.500 0.782 0.000
In2 0.500 0.782 0.500
In3 0.500 0.218 0.000
In4 0.500 0.218 0.500
In5 0.002 0.782 0.750
In6 0.998 0.782 0.250
In7 0.998 0.218 0.250
In8 0.002 0.218 0.750
Nd1 0.000 0.500 0.000
Nd2 0.000 0.500 0.500
Li1 0.000 0.000 0.000
Li2 0.000 0.000 0.500
Li3 0.504 0.000 0.750
Li4 0.496 0.000 0.250
Li5 0.501 0.500 0.750
Li6 0.499 0.500 0.250

- formation energy (eV per atom) = -0.3591
- DFT total energy (eV/atom) = -3.042
- DOS at the Fermi energy (states/eV/atom) = 0.345



11.
Entry from Alexandria via LeMat-Bulk: a geometry-optimized LiNd2In3 structure (GGA-PBE).

Lattice parameters (Å, degrees): 3.745 4.960 8.591 90.00 90.00 90.00
Fractional coordinates of all 6 atoms:
Li1 0.500 0.500 0.328
Nd1 0.000 0.500 0.994
Nd2 0.000 0.000 0.507
In1 0.500 0.000 0.840
In2 0.500 0.000 0.182
In3 0.500 0.500 0.649

- relative energy among the computed polymorphs (meV per atom) = 11
- formation energy (eV per atom) = -0.4384
- DFT total energy (eV/atom) = -3.716
- DOS at the Fermi energy (states/eV/atom) = 0.692



12.
Entry from Alexandria via LeMat-Bulk: a geometry-optimized LiNdIn5 structure (GGA-PBE).

Lattice parameters (Å, degrees): 4.771 4.771 7.697 90.00 90.00 90.00
Fractional coordinates of all 7 atoms:
Li1 0.000 0.000 0.500
Nd1 0.000 0.000 0.000
In1 0.500 0.000 0.700
In2 0.000 0.500 0.700
In3 0.500 0.500 0.000
In4 0.000 0.500 0.300
In5 0.500 0.000 0.300

- formation energy (eV per atom) = -0.3216
- DFT total energy (eV/atom) = -3.232
- DOS at the Fermi energy (states/eV/atom) = 0.216